1.
{
  "formula": "CsHPb",
  "functional": "PBE",
  "state": "optimized geometry",
  "lattice": [[-4.2320, -4.7363, 1.8499], [0.6003, -2.1817, -4.2126], [13.5558, -2.4329, 3.1919]],
  "species": ["Cs", "Cs", "Cs", "Cs", "H", "H", "H", "H", "Pb", "Pb", "Pb", "Pb"],
  "frac_coords": [[0.4391, 0.0000, 0.0753], [0.4391, 0.5000, 0.5753], [0.7846, 0.0000, 0.8885], [0.7846, 0.5000, 0.3885], [0.5007, 0.0000, 0.2940], [0.5007, 0.5000, 0.7940], [0.1154, 0.0000, 0.5601], [0.1154, 0.5000, 0.0601], [0.9811, 0.0000, 0.6572], [0.9811, 0.5000, 0.1572], [0.2211, 0.0000, 0.3071], [0.2211, 0.5000, 0.8071]],
  "space_group": "Cm, No. 8",
  "polymorph_energy_mev_per_atom": 25
}



2.
{
  "formula": "CsHPb",
  "functional": "PBE",
  "state": "optimized geometry",
  "lattice": [[7.7443, 0.0000, 0.0017], [0.0000, 4.9074, 0.0000], [-7.6046, 0.0000, 11.5812]],
  "species": ["Cs", "Cs", "Cs", "Cs", "H", "H", "H", "H", "Pb", "Pb", "Pb", "Pb"],
  "frac_coords": [[0.8901, 0.0000, 0.5157], [0.8901, 0.5000, 0.0157], [0.3037, 0.0000, 0.9093], [0.3037, 0.5000, 0.4093], [0.6347, 0.0000, 0.8480], [0.6347, 0.5000, 0.3480], [0.7568, 0.0000, 0.0759], [0.7568, 0.5000, 0.5759], [0.8338, 0.0000, 0.2323], [0.8338, 0.5000, 0.7323], [0.5389, 0.0000, 0.6876], [0.5389, 0.5000, 0.1876]],
  "space_group": "Cm, No. 8",
  "polymorph_energy_mev_per_atom": 26
}



3.
{
  "formula": "CsHPtPb2",
  "functional": "PBE",
  "state": "optimized geometry",
  "lattice": [[-1.0367, -2.8159, -4.2859], [2.2703, -6.0910, 3.4528], [-4.8677, -0.8356, 1.7264]],
  "species": ["Pb", "Pb", "Cs", "Pt", "H"],
  "frac_coords": [[0.0000, 0.0000, 0.5000], [0.5000, 0.0000, 0.0000], [0.0000, 0.5000, 0.0000], [0.0000, 0.0000, 0.0000], [0.5000, 0.5000, 0.5000]],
  "space_group": "P4/mmm, No. 123"
}



4.
{
  "formula": "Cs2RbHPb",
  "functional": "PBE",
  "state": "optimized geometry",
  "lattice": [[-3.3829, -4.4548, -2.5565], [5.0000, -2.1559, -2.8595], [1.1344, -3.5249, 4.6412]],
  "species": ["Pb", "Cs", "Cs", "Rb", "H"],
  "frac_coords": [[0.5000, 0.5000, 0.5000], [0.0000, 0.5000, 0.0000], [0.5000, 0.0000, 0.0000], [0.0000, 0.0000, 0.5000], [0.0000, 0.0000, 0.0000]],
  "space_group": "P4/mmm, No. 123"
}



5.
{
  "formula": "CsRb2HPb",
  "functional": "PBE",
  "state": "optimized geometry",
  "lattice": [[5.8978, 0.0000, 0.0000], [0.0000, 5.8978, 0.0000], [0.0000, 0.0000, 6.1368]],
  "species": ["Pb", "Cs", "Rb", "Rb", "H"],
  "frac_coords": [[0.5000, 0.5000, 0.5000], [0.0000, 0.0000, 0.5000], [0.0000, 0.5000, 0.0000], [0.5000, 0.0000, 0.0000], [0.0000, 0.0000, 0.0000]],
  "space_group": "P4/mmm, No. 123"
}



6.
{
  "formula": "Cs2RbH6Pb2",
  "functional": "PBE",
  "state": "optimized geometry",
  "lattice": [[-2.5725, -5.6685, 0.2656], [3.8312, 1.8988, 4.5525], [-7.6881, 3.5209, 0.6776]],
  "species": ["Cs", "Cs", "Rb", "H", "H", "H", "H", "H", "H", "Pb", "Pb"],
  "frac_coords": [[0.7065, 0.4130, 0.1199], [0.2935, 0.5870, 0.8801], [0.5000, 0.0000, 0.5000], [0.7812, 0.5624, 0.7825], [0.2199, 0.9979, 0.2176], [0.2219, 0.0021, 0.7824], [0.7801, 0.0021, 0.7824], [0.7781, 0.9979, 0.2176], [0.2188, 0.4376, 0.2175], [0.8764, 0.7528, 0.6282], [0.1236, 0.2472, 0.3718]],
  "space_group": "C2/m, No. 12"
}



| no. | M_tot (μB per cell) | total energy (Ha/atom) | V (Å³ per atom) |
| --- | --- | --- | --- |
| 1 | 0.00 | -0.1014 | 33.7 |
| 2 | 0.00 | -0.1014 | 36.7 |
| 3 | 0.24 | -0.1183 | 40.3 |
| 4 | 1.97 | -0.0729 | 44.9 |
| 5 | 1.88 | -0.0734 | 42.7 |
| 6 | 0.00 | -0.1008 | 23.5 |